First-principles (PBE) data for ThZrBiTe after structural relaxation, as listed in Alexandria via LeMat-Bulk. Values from VASP.

```
&SYSTEM
  ibrav = 0, nat = 4, ntyp = 4
/
ATOMIC_SPECIES
Th 232.04 Th.upf
Zr 91.22 Zr.upf
Bi 208.98 Bi.upf
Te 127.60 Te.upf
CELL_PARAMETERS angstrom
0.0000 3.7676 3.7676
3.7676 0.0000 3.7676
3.7676 3.7676 0.0000
ATOMIC_POSITIONS angstrom
Th 0.0000 0.0000 0.0000
Zr 3.7676 3.7676 3.7676
Bi 5.6513 5.6513 5.6513
Te 1.8838 1.8838 1.8838
```

Theoretical density ... 10.24 g/cm3
Total moment ... 0.00 Bohr magnetons per cell
Uncorrected formation energy ... -0.641 eV per atom
Uncorrected energy ... -6.388 eV/atom